This record from Alexandria describes a PBEsol-optimized structure of CaMg3Zn3. The functional is SCAN.

Results
total energy: -0.348 hartree per atom
DFT formation energy: -155 meV/atom
space group: P2_1/m, No. 11

Cell lengths 4.651, 8.283, 8.310 Å; angles 118.98, 90.00, 90.00 degrees
Sites, in units of the cell vectors:
Mg (0.750, 0.982, 0.752)
Mg (0.750, 0.773, 0.019)
Mg (0.250, 0.227, 0.981)
Mg (0.750, 0.249, 0.234)
Mg (0.250, 0.018, 0.248)
Mg (0.250, 0.751, 0.766)
Zn (0.750, 0.473, 0.076)
Zn (0.750, 0.927, 0.398)
Zn (0.250, 0.397, 0.476)
Zn (0.250, 0.073, 0.602)
Zn (0.750, 0.603, 0.524)
Zn (0.250, 0.527, 0.924)
Ca (0.750, 0.336, 0.671)
Ca (0.250, 0.664, 0.329)

---

This record from Alexandria describes a PBEsol-optimized structure of Ca2MgZn2. The functional is SCAN.

Results
total energy: -0.386 hartree per atom
DFT formation energy: -241 meV/atom
space group: P4/mbm, No. 127

Cell lengths 4.163, 7.686, 7.686 Å; angles 90.00, 90.00, 90.00 degrees
Sites, in units of the cell vectors:
Ca (0.500, 0.325, 0.175)
Ca (0.500, 0.825, 0.325)
Ca (0.500, 0.675, 0.825)
Ca (0.500, 0.175, 0.675)
Mg (0.000, 0.500, 0.500)
Mg (0.000, 0.000, 0.000)
Zn (0.000, 0.380, 0.880)
Zn (0.000, 0.120, 0.380)
Zn (0.000, 0.620, 0.120)
Zn (0.000, 0.880, 0.620)

---

This record from Alexandria describes a PBEsol-optimized structure of CaMg2Zn. The functional is SCAN.

Results
total energy: -0.309 hartree per atom
DFT formation energy: -123 meV/atom
space group: P6_3/mmc, No. 194

Cell lengths 5.092, 5.092, 8.354 Å; angles 90.00, 90.00, 120.00 degrees
Sites, in units of the cell vectors:
Mg (0.667, 0.333, 0.069)
Mg (0.667, 0.333, 0.431)
Mg (0.333, 0.667, 0.931)
Mg (0.333, 0.667, 0.569)
Ca (0.000, 0.000, 0.250)
Ca (0.000, 0.000, 0.750)
Zn (0.333, 0.667, 0.250)
Zn (0.667, 0.333, 0.750)

---

This record from Alexandria describes a PBEsol-optimized structure of Ca2MgZn2. The functional is SCAN.

Results
total energy: -0.384 hartree per atom
DFT formation energy: -196 meV/atom
space group: C2/m, No. 12

Cell lengths 5.075, 5.075, 5.940 Å; angles 65.45, 65.45, 63.83 degrees
Sites, in units of the cell vectors:
Ca (0.241, 0.241, 0.311)
Ca (0.759, 0.759, 0.689)
Zn (0.606, 0.606, 0.265)
Zn (0.394, 0.394, 0.735)
Mg (0.000, 0.000, 0.000)